Record 1
A relaxed structure of ErZn6Cu2, computed with PBE.

Energy of formation from the pure elements, meV per atom: 258.6
SG: Fd-3m, No. 227
Crystal system: cubic

Unit cell a=7.997 b=7.997 c=7.997 alpha=60.00 beta=60.00 gamma=60.00
Element x y z (fractional)
Er (0.500, 0.500, 0.500)
Er (0.750, 0.750, 0.750)
Zn (0.241, 0.241, 0.759)
Zn (0.759, 0.759, 0.241)
Zn (0.241, 0.759, 0.241)
Zn (0.241, 0.759, 0.759)
Zn (0.491, 0.491, 0.009)
Zn (0.491, 0.009, 0.009)
Zn (0.759, 0.241, 0.759)
Zn (0.009, 0.009, 0.491)
Zn (0.491, 0.009, 0.491)
Zn (0.009, 0.491, 0.491)
Zn (0.759, 0.241, 0.241)
Zn (0.009, 0.491, 0.009)
Cu (0.125, 0.125, 0.125)
Cu (0.125, 0.625, 0.125)
Cu (0.125, 0.125, 0.625)
Cu (0.625, 0.125, 0.125)

***

Record 2
A relaxed structure of TmTlSn2Te4, computed with PBE.

SG: P2/m, No. 10
Energy relative to the elements, uncorrected, eV per atom: -0.582
Crystal system: monoclinic

Unit cell a=4.511 b=7.812 c=7.960 alpha=71.56 beta=90.00 gamma=90.00
Element x y z (fractional)
Tm (0.000, 0.500, 0.500)
Tl (0.500, 0.500, 0.000)
Sn (0.000, 0.000, 0.000)
Sn (0.500, 0.000, 0.500)
Te (0.000, 0.753, 0.727)
Te (0.000, 0.247, 0.273)
Te (0.500, 0.742, 0.270)
Te (0.500, 0.258, 0.730)

***

Record 3
A relaxed structure of Pr2HoMg5, computed with PBE.

Energy of formation from the pure elements, meV per atom: -75.3
SG: I4/mmm, No. 139
Crystal system: tetragonal

Unit cell a=5.260 b=5.260 c=8.746 alpha=107.50 beta=107.50 gamma=90.00
Element x y z (fractional)
Pr (0.741, 0.741, 0.482)
Pr (0.259, 0.259, 0.518)
Ho (0.000, 0.000, 0.000)
Mg (0.500, 0.500, 0.000)
Mg (0.887, 0.387, 0.774)
Mg (0.387, 0.887, 0.774)
Mg (0.113, 0.613, 0.226)
Mg (0.613, 0.113, 0.226)

***

Record 4
A relaxed structure of AsPdSe2Br, computed with PBE.

SG: P4/mmm, No. 123
Energy relative to the elements, uncorrected, eV per atom: 1.248
Crystal system: tetragonal

Unit cell a=5.045 b=5.045 c=5.171 alpha=90.00 beta=90.00 gamma=90.00
Element x y z (fractional)
As (0.000, 0.000, 0.500)
Se (0.000, 0.500, 0.000)
Se (0.500, 0.000, 0.000)
Br (0.000, 0.000, 0.000)
Pd (0.500, 0.500, 0.500)

***

Record 5
A relaxed structure of Nd5Hg2Ru2, computed with PBE.

Energy of formation from the pure elements, meV per atom: -325.0
SG: Cmce, No. 64
Crystal system: orthorhombic

Unit cell a=7.896 b=7.723 c=8.998 alpha=115.41 beta=90.00 gamma=90.00
Element x y z (fractional)
Nd (0.000, 0.000, 0.000)
Nd (0.500, 0.500, 0.000)
Nd (0.831, 0.787, 0.239)
Nd (0.169, 0.452, 0.239)
Nd (0.331, 0.952, 0.239)
Nd (0.669, 0.287, 0.239)
Nd (0.169, 0.213, 0.761)
Nd (0.831, 0.548, 0.761)
Nd (0.669, 0.048, 0.761)
Nd (0.331, 0.713, 0.761)
Hg (0.000, 0.215, 0.430)
Hg (0.500, 0.715, 0.430)
Hg (0.000, 0.785, 0.570)
Hg (0.500, 0.285, 0.570)
Ru (0.634, 0.867, 0.000)
Ru (0.366, 0.133, 0.000)
Ru (0.134, 0.633, 0.000)
Ru (0.866, 0.367, 0.000)

***

Record 6
A relaxed structure of Dy2YAg3, computed with PBE.

Energy of formation from the pure elements, meV per atom: -326.9
SG: P4/mmm, No. 123
Crystal system: tetragonal

Unit cell a=3.625 b=3.625 c=11.000 alpha=90.00 beta=90.00 gamma=90.00
Element x y z (fractional)
Dy (0.500, 0.500, 0.834)
Dy (0.500, 0.500, 0.166)
Y (0.500, 0.500, 0.500)
Ag (0.000, 0.000, 0.000)
Ag (0.000, 0.000, 0.668)
Ag (0.000, 0.000, 0.332)

***

Record 7
A relaxed structure of MnTlSiSe4, computed with PBE.

SG: P2_1/m, No. 11
Energy relative to the elements, uncorrected, eV per atom: -0.372
Crystal system: monoclinic

Unit cell a=6.436 b=6.974 c=10.219 alpha=90.00 beta=125.59 gamma=90.00
Element x y z (fractional)
Mn (0.774, 0.750, 0.450)
Mn (0.226, 0.250, 0.550)
Tl (0.666, 0.750, 0.936)
Tl (0.334, 0.250, 0.064)
Si (0.181, 0.750, 0.346)
Si (0.819, 0.250, 0.654)
Se (0.093, 0.494, 0.690)
Se (0.907, 0.994, 0.310)
Se (0.907, 0.506, 0.310)
Se (0.093, 0.006, 0.690)
Se (0.311, 0.750, 0.181)
Se (0.689, 0.250, 0.819)
Se (0.558, 0.750, 0.591)
Se (0.442, 0.250, 0.409)

***

Record 8
A relaxed structure of Nb2CrAs2, computed with PBE.

Energy of formation from the pure elements, meV per atom: -182.1
SG: P4/mbm, No. 127
Crystal system: tetragonal

Unit cell a=6.643 b=6.643 c=3.637 alpha=90.00 beta=90.00 gamma=90.00
Element x y z (fractional)
Cr (0.000, 0.000, 0.000)
Cr (0.500, 0.500, 0.000)
Nb (0.155, 0.655, 0.500)
Nb (0.655, 0.845, 0.500)
Nb (0.845, 0.345, 0.500)
Nb (0.345, 0.155, 0.500)
As (0.349, 0.849, 0.000)
As (0.849, 0.651, 0.000)
As (0.651, 0.151, 0.000)
As (0.151, 0.349, 0.000)